# PBE-GGA TlAu3, relaxed
data_TlAu3
_chemical_formula_sum 'Tl4 Au12'
_symmetry_space_group_name_H-M 'P 63/m m c'
_symmetry_Int_Tables_number 194
_symmetry_space_group_name_Hall '-P 6c 2c'
_cell_length_a 6.7118
_cell_length_b 6.7118
_cell_length_c 8.7053
_cell_angle_alpha 90.00
_cell_angle_beta 90.00
_cell_angle_gamma 120.00
loop_
_atom_site_label
_atom_site_type_symbol
_atom_site_fract_x
_atom_site_fract_y
_atom_site_fract_z
Tl1 Tl 0.0000 0.0000 0.0000
Tl2 Tl 0.3333 0.6667 0.2500
Au1 Au 0.0000 0.5000 0.0000
Au2 Au 0.1860 0.3719 0.7500
# Calculated volume = 21.23 A^3/atom
# Formation energy from the elements = 0.3 eV per formula unit
# Calculated total energy = -2.969 eV per atom